Record 1
{"formula": "Cs2Al2Ag", "functional": "SCAN", "state": "single point on PBEsol structure", "density_g_cm3": 4.1, "n_ef_per_ev_fu": 1.6, "formation_energy_ev_per_atom": 0.2767, "magmom_total_mub_per_fu": 0.0, "lattice": [[3.887, 0.000, 0.000], [0.000, 3.887, 0.000], [-1.944, -1.944, 11.566]], "species": ["Al", "Al", "Cs", "Cs", "Ag"], "fractional_positions": [[0.250, 0.750, 0.500], [0.750, 0.250, 0.500], [0.398, 0.398, 0.796], [0.602, 0.602, 0.204], [0.000, 0.000, 0.000]]}


Record 2
{"formula": "Na2CdAg2", "functional": "SCAN", "state": "single point on PBEsol structure", "density_g_cm3": 5.4, "n_ef_per_ev_fu": 1.4, "formation_energy_ev_per_atom": -0.0109, "magmom_total_mub_per_fu": 0.0, "lattice": [[4.511, 0.000, 0.000], [0.000, 7.109, 0.000], [0.000, 0.000, 7.109]], "species": ["Na", "Na", "Na", "Na", "Cd", "Cd", "Ag", "Ag", "Ag", "Ag"], "fractional_positions": [[0.500, 0.331, 0.169], [0.500, 0.669, 0.831], [0.500, 0.169, 0.669], [0.500, 0.831, 0.331], [0.000, 0.000, 0.000], [0.000, 0.500, 0.500], [0.000, 0.365, 0.865], [0.000, 0.635, 0.135], [0.000, 0.865, 0.635], [0.000, 0.135, 0.365]]}


Record 3
{"formula": "MgAg2Ir", "functional": "SCAN", "state": "single point on PBEsol structure", "density_g_cm3": 11.3, "n_ef_per_ev_fu": 1.7, "formation_energy_ev_per_atom": 0.0095, "magmom_total_mub_per_fu": 0.5, "lattice": [[2.806, 0.000, 0.018], [0.000, 3.993, 0.000], [-0.035, 0.000, 5.689]], "species": ["Ag", "Ag", "Mg", "Ir"], "fractional_positions": [[0.000, 0.000, 0.005], [0.500, 0.500, 0.253], [0.500, 0.500, 0.733], [0.000, 0.000, 0.510]]}


Record 4
{"formula": "MnBeSi2", "functional": "SCAN", "state": "single point on PBEsol structure", "density_g_cm3": 3.9, "e_form_raw_ev_per_atom": 0.3551, "n_ef_per_ev_fu": 1.8, "magmom_total_mub_per_fu": 3.5, "lattice": [[4.777, 0.000, 0.000], [2.389, 4.646, 0.000], [2.389, 0.000, 4.646]], "species": ["Be", "Be", "Si", "Si", "Si", "Si", "Mn", "Mn"], "fractional_positions": [[0.500, 0.000, 0.000], [0.250, 0.500, 0.500], [0.157, 0.968, 0.468], [0.875, 0.532, 0.968], [0.375, 0.468, 0.032], [0.593, 0.032, 0.532], [0.750, 0.500, 0.500], [0.000, 0.000, 0.000]]}


Record 5
{"formula": "CsK2Rb", "functional": "SCAN", "state": "single point on PBEsol structure", "density_g_cm3": 1.4, "n_ef_per_ev_fu": 3.3, "formation_energy_ev_per_atom": 0.0626, "magmom_total_mub_per_fu": 0.0, "lattice": [[9.234, 0.000, 0.000], [4.617, 8.609, 0.000], [4.617, 0.000, 8.609]], "species": ["Cs", "Cs", "K", "K", "K", "K", "Rb", "Rb"], "fractional_positions": [[0.000, 0.000, 0.000], [0.750, 0.500, 0.500], [0.375, 0.488, 0.012], [0.613, 0.012, 0.512], [0.875, 0.512, 0.988], [0.137, 0.988, 0.488], [0.500, 0.000, 0.000], [0.250, 0.500, 0.500]]}


Record 6
{"formula": "KIr2Os", "functional": "SCAN", "state": "single point on PBEsol structure", "density_g_cm3": 15.6, "n_ef_per_ev_fu": 3.1, "formation_energy_ev_per_atom": 1.3897, "magmom_total_mub_per_fu": 2.0, "lattice": [[2.657, 0.000, 0.000], [0.000, 4.885, 0.000], [0.000, 0.000, 5.024]], "species": ["Ir", "Ir", "K", "Os"], "fractional_positions": [[0.500, 0.000, 0.500], [0.000, 0.000, 0.000], [0.500, 0.500, 0.000], [0.000, 0.500, 0.500]]}